Computed, not measured: Ca2GaCu2 at its PBEsol-relaxed geometry at the SCAN level of DFT.

Cell lengths 4.2410, 5.2800, 5.5952 Å; angles 118.15, 112.27, 90.00 degrees
With the nearest neighbours (Å) after each atom.
Fractional positions:
Ca 0.8050 0.3050 0.6100  6 Cu 3.03, 2 Ga 3.16
Ca 0.1950 0.6950 0.3900  6 Cu 3.03, 2 Ga 3.16
Ga 0.0000 0.0000 0.0000  4 Cu 2.51
Cu 0.5000 0.7454 0.0000  2 Ga 2.51, 2 Cu 2.59-2.69
Cu 0.5000 0.2546 0.0000  2 Ga 2.51, 2 Cu 2.59-2.69

Calculated values
* calculated formation energy: -328 meV per atom
* calculated density: 4.6 g/cm³

Computed, not measured: K2SrFe at its PBEsol-relaxed geometry at the SCAN level of DFT.

Cell lengths 4.1078, 5.8230, 6.6236 Å; angles 90.00, 90.00, 95.17 degrees
With the nearest neighbours (Å) after each atom.
Fractional positions:
Fe 0.5000 0.0000 0.5000  4 Sr 3.41-3.71, 4 K 3.70
K 0.2851 0.2253 0.0000  3 K 3.29-3.51
K 0.7149 0.7747 0.0000  3 K 3.29-3.51
Sr 0.0000 0.5000 0.5000  4 Fe 3.41-3.71

Calculated values
* calculated formation energy: 737 meV per atom
* calculated density: 2.3 g/cm³

Computed, not measured: CdTcPb2 at its PBEsol-relaxed geometry at the SCAN level of DFT.

Cell lengths 3.4505, 4.9458, 4.9458 Å; angles 90.00, 90.00, 90.00 degrees
With the nearest neighbours (Å) after each atom.
Fractional positions:
Cd 0.5000 0.0000 0.0000  8 Pb 3.02
Pb 0.0000 0.0000 0.5000  4 Cd 3.02, 4 Tc 3.02
Pb 0.0000 0.5000 0.0000  4 Tc 3.02, 4 Cd 3.02
Tc 0.5000 0.5000 0.5000  8 Pb 3.02

Calculated values
* calculated formation energy: 666 meV per atom
* calculated density: 12.3 g/cm³

Computed, not measured: HoTaOs2 at its PBEsol-relaxed geometry at the SCAN level of DFT.

Cell lengths 4.5736, 4.5736, 4.5736 Å; angles 60.00, 60.00, 60.00 degrees
With the nearest neighbours (Å) after each atom.
Fractional positions:
Os 0.7500 0.7500 0.7500  4 Ta 2.80, 4 Ho 2.80
Os 0.2500 0.2500 0.2500  4 Ta 2.80, 4 Ho 2.80
Ho 0.0000 0.0000 0.0000  8 Os 2.80
Ta 0.5000 0.5000 0.5000  8 Os 2.80

Calculated values
* calculated formation energy: -405 meV per atom
* calculated density: 17.8 g/cm³

Computed, not measured: BIrO3 at its PBEsol-relaxed geometry at the SCAN level of DFT.

Cell lengths 3.8267, 3.8267, 3.8267 Å; angles 90.00, 90.00, 90.00 degrees
With the nearest neighbours (Å) after each atom.
Fractional positions:
B 0.5000 0.5000 0.5000  12 O 2.71
Ir 0.0000 0.0000 0.0000  6 O 1.91
O 0.0000 0.5000 0.0000  2 Ir 1.91
O 0.0000 0.0000 0.5000  2 Ir 1.91
O 0.5000 0.0000 0.0000  2 Ir 1.91

Calculated values
* calculated density: 7.4 g/cm³
* E_tot: -1.3934 Ry per atom

Computed, not measured: LiMg2Pb at its PBEsol-relaxed geometry at the SCAN level of DFT.

Cell lengths 3.3253, 5.1425, 5.3092 Å; angles 90.00, 91.95, 90.00 degrees
With the nearest neighbours (Å) after each atom.
Fractional positions:
Pb 0.5000 0.5000 0.0000  4 Mg 3.03, 4 Li 3.08-3.18, 2 Pb 3.33
Mg 0.7473 0.0000 0.7446  2 Li 3.01, 6 Mg 3.03-3.33, 2 Pb 3.03
Mg 0.2527 0.0000 0.2554  2 Li 3.01, 6 Mg 3.03-3.33, 2 Pb 3.03
Li 0.0000 0.5000 0.5000  4 Mg 3.01, 4 Pb 3.08-3.18, 2 Li 3.33

Calculated values
* calculated formation energy: -162 meV per atom
* calculated density: 4.8 g/cm³

Among the records above, which one has the lowest calculated density?
K2SrFe

Which formula does entry 2 have?
K2SrFe